# 1
This record from Alexandria via LeMat-Bulk describes Be2TlCd at its PBEsol-relaxed geometry. The functional is SCAN.

Computed properties:
VASP energy: -27.21 eV/atom
Energy above the lowest structure with this stoichiometry: 90 meV/atom
Formation energy: 0.66 eV/atom

abc: 5.3092 5.3092 5.3092
angles: 148.43 114.92 74.14
Last column: nearest neighbours and their distance in Å.
Fractional coordinates of all 4 atoms:
Be1 0.2451 0.2451 0.0000  2 Cd 2.53, 2 Tl 2.60
Be2 0.7549 0.7549 0.0000  2 Cd 2.53, 2 Tl 2.60
Tl1 0.5000 0.0000 0.5000  4 Be 2.60, 2 Tl 2.89
Cd1 0.0000 0.5000 0.5000  4 Be 2.53

# 2
This record from Alexandria via LeMat-Bulk describes MgCd2In at its PBEsol-relaxed geometry. The functional is SCAN.

Computed properties:
VASP energy: -24.86 eV/atom
Formation energy: -0.07 eV/atom

abc: 3.2857 4.3490 6.1259
angles: 90.00 90.00 90.00
Last column: nearest neighbours and their distance in Å.
Fractional coordinates of all 4 atoms:
Mg1 0.0000 0.0000 0.0000  6 Cd 3.00-3.12, 4 In 3.13, 2 Mg 3.29
Cd1 0.0000 0.0000 0.4900  2 Mg 3.00-3.12, 6 Cd 3.11-3.29, 4 In 3.15
Cd2 0.5000 0.5000 0.2454  2 In 3.05-3.08, 6 Cd 3.11-3.29, 4 Mg 3.11
In1 0.5000 0.5000 0.7479  6 Cd 3.05-3.15, 4 Mg 3.13, 2 In 3.29